Record 1
The following is a PBE calculation of PmScGa2 after structural relaxation, from Alexandria.

a = 3.5196 Å, b = 3.5196 Å, c = 6.9959 Å
α = 90.00°, β = 90.00°, γ = 90.00°
Fractional coordinates of all 4 atoms:
Sc 0.5000 0.5000 0.0000
Ga 0.0000 0.0000 0.2189
Pm 0.5000 0.5000 0.5000
Ga 0.0000 0.0000 0.7811

Results
* crystal system: tetragonal

Record 2
The following is a PBE calculation of NdSm6Co3 after structural relaxation, from Alexandria.

a = 7.1585 Å, b = 8.4680 Å, c = 8.4680 Å
α = 90.19°, β = 90.00°, γ = 90.00°
Fractional coordinates of all 20 atoms:
Sm 0.1349 0.9955 0.0045
Sm 0.6349 0.0045 0.9955
Co 0.8784 0.0088 0.2507
Sm 0.3707 0.5509 0.0104
Sm 0.0921 0.6998 0.3002
Sm 0.5921 0.3002 0.6998
Sm 0.8707 0.0104 0.5509
Sm 0.6214 0.2954 0.2954
Co 0.8698 0.4938 0.5062
Sm 0.3707 0.9896 0.4491
Co 0.3698 0.5062 0.4938
Co 0.3784 0.2507 0.0088
Sm 0.1214 0.7046 0.7046
Co 0.3784 0.9912 0.7493
Co 0.8784 0.7493 0.9912
Sm 0.6214 0.7046 0.7046
Sm 0.8707 0.4491 0.9896
Nd 0.6476 0.7039 0.2961
Nd 0.1476 0.2961 0.7039
Sm 0.1214 0.2954 0.2954

Results
* crystal system: orthorhombic

Record 3
The following is a PBE calculation of TbPa2Nb after structural relaxation, from Alexandria.

a = 3.4667 Å, b = 3.4667 Å, c = 8.4257 Å
α = 90.00°, β = 90.00°, γ = 90.00°
Fractional coordinates of all 4 atoms:
Nb 0.5000 0.5000 0.0000
Pa 0.0000 0.0000 0.2133
Tb 0.5000 0.5000 0.5000
Pa 0.0000 0.0000 0.7867

Results
* crystal system: tetragonal

Record 4
The following is a PBE calculation of LiY2Si3Pt12 after structural relaxation, from Alexandria.

a = 7.4832 Å, b = 7.4832 Å, c = 7.4832 Å
α = 67.03°, β = 67.03°, γ = 67.03°
Fractional coordinates of all 18 atoms:
Si 0.0000 0.5000 0.0000
Y 0.6136 0.6136 0.6136
Pt 0.6431 0.6431 0.1058
Pt 0.1344 0.1344 0.6309
Pt 0.3569 0.3569 0.8942
Pt 0.8942 0.3569 0.3569
Pt 0.3569 0.8942 0.3569
Pt 0.8656 0.8656 0.3691
Pt 0.3691 0.8656 0.8656
Li 0.0000 0.0000 0.0000
Si 0.0000 0.0000 0.5000
Pt 0.6309 0.1344 0.1344
Pt 0.1058 0.6431 0.6431
Pt 0.8656 0.3691 0.8656
Si 0.5000 0.0000 0.0000
Y 0.3864 0.3864 0.3864
Pt 0.6431 0.1058 0.6431
Pt 0.1344 0.6309 0.1344

Results
* crystal system: trigonal
* ΔE_f (raw): -9.6 eV per formula unit

Record 5
The following is a PBE calculation of BeSiAs2Se after structural relaxation, from Alexandria.

a = 4.4268 Å, b = 4.4268 Å, c = 4.8037 Å
α = 90.00°, β = 90.00°, γ = 90.00°
Fractional coordinates of all 5 atoms:
Be 0.0000 0.0000 0.0000
As 0.0000 0.5000 0.0000
Se 0.0000 0.0000 0.5000
As 0.5000 0.0000 0.0000
Si 0.5000 0.5000 0.5000

Results
* crystal system: tetragonal
* offset from the most stable computed form: 0.019 eV/atom
* ΔE_f (raw): 3.1 eV per formula unit

The following D(E_F) values (in states/eV/atom) correspond, in order, to the records above: 0.53, 0.94, 2.00, 0.32, 0.54.
The following total DFT energy (no corrections) values (in eV/atom) correspond, in order, to the records above: -4.87, -5.42, -8.16, -6.29, -3.78.